Computed, not measured: a relaxed TlS3 crystal at the PBE level of DFT.

E_form (uncorrected) ... 405 meV/atom
Symmetry ... No. 194
Calculated total energy ... -3.28 eV per atom

a b c (Å): 7.6600 7.6600 3.5565
angles (deg): 90.00 90.00 120.00
Last column: nearest neighbours and their distance in Å.
Fractional positions:
1 Tl 0.3333 0.6667 0.2500  6 S 3.17
2 Tl 0.6667 0.3333 0.7500  6 S 3.17
3 S 0.1358 0.2716 0.7500  4 S 2.53
4 S 0.1358 0.8642 0.7500  4 S 2.53
5 S 0.2716 0.1358 0.2500  4 S 2.53
6 S 0.7284 0.8642 0.7500  4 S 2.53
7 S 0.8642 0.1358 0.2500  4 S 2.53
8 S 0.8642 0.7284 0.2500  4 S 2.53